Crystalline HoBe2BIr at its relaxed geometry, computed with PBE.

Values from the calculation:
The value obtained for the formation enthalpy at 0 K is -429 meV per atom. Its space group is Imm2.

Cell: 3.553 3.648 5.561 Å, 109.15 108.63 90.00°
Positions (direct):
Ho  0.436  0.436  0.871
Be  0.702  0.202  0.404
Be  0.057  0.057  0.115
B  0.821  0.821  0.642
Ir  0.196  0.696  0.393

Crystalline HoBeNi6B at its relaxed geometry, computed with PBE.

Values from the calculation:
The value obtained for the formation enthalpy at 0 K is -53 meV per atom. Its space group is Imma.

Cell: 5.350 8.229 7.047 Å, 125.72 112.31 90.00°
Positions (direct):
Ho  0.822  0.572  0.643
Ho  0.178  0.428  0.357
Be  0.500  0.000  0.500
Be  0.000  0.000  0.500
Ni  0.471  0.721  0.942
Ni  0.920  0.170  0.840
Ni  0.880  0.109  0.260
Ni  0.380  0.651  0.260
Ni  0.380  0.109  0.260
Ni  0.880  0.651  0.260
Ni  0.529  0.279  0.058
Ni  0.080  0.830  0.160
Ni  0.120  0.891  0.740
Ni  0.620  0.349  0.740
Ni  0.620  0.891  0.740
Ni  0.120  0.349  0.740
B  0.500  0.500  0.000
B  0.500  0.000  0.000

Crystalline HoBe2B2O7 at its relaxed geometry, computed with PBE.

Values from the calculation:
The uncorrected formation energy is -2551 meV/atom. Its space group is R32.

Cell: 4.698 4.698 7.234 Å, 71.05 71.05 60.00°
Positions (direct):
Ho  0.000  0.000  0.000
Be  0.746  0.746  0.761
Be  0.254  0.254  0.239
B  0.572  0.572  0.283
B  0.428  0.428  0.717
O  0.320  0.912  0.212
O  0.912  0.556  0.212
O  0.556  0.320  0.212
O  0.500  0.500  0.500
O  0.680  0.444  0.788
O  0.444  0.088  0.788
O  0.088  0.680  0.788

Crystalline HoBe2BOs at its relaxed geometry, computed with PBE.

Values from the calculation:
The value obtained for the formation enthalpy at 0 K is -255 meV per atom. Its space group is Imm2.

Cell: 3.508 3.585 5.669 Å, 108.43 108.02 90.00°
Positions (direct):
Ho  0.435  0.435  0.870
Be  0.700  0.200  0.400
Be  0.059  0.059  0.118
B  0.820  0.820  0.640
Os  0.198  0.698  0.396

no.,volume (Å³ per atom),D(E_F) (states/eV/f.u.)
1,12.816,2.52
2,12.370,6.04
3,10.683,2.86
4,12.788,2.82